No. 1
The following is a PBE calculation of a relaxed Sm2Tl3CuSe6 crystal, from the Alexandria database.

Output
Its formation energy without anion corrections is -10.62 eV/f.u. Its volume is 678.2 Å³/cell. The total magnetic moment comes out at 0.000 μB/atom. The calculation puts the final energy at -4.347 eV/atom.

Unit cell a=7.3509 b=12.3132 c=8.0234 alpha=90.00 beta=110.95 gamma=90.00
Closest atoms and distances in Å follow each position.
Space group C2/m (No. 12)
Asymmetric unit:
Sm: 0.0000 0.1617 0.0000 (multiplicity 4)  6 Se 2.91-3.00
Tl: 0.0000 0.0000 0.5000 (multiplicity 2)  6 Se 3.13-3.20
Tl: 0.0000 0.3183 0.5000 (multiplicity 4)  6 Se 3.17-3.42
Cu: 0.0000 0.5000 0.0000 (multiplicity 2)  4 Se 2.52
Se: 0.2137 0.3521 0.1885 (multiplicity 8)  1 Cu 2.52
Se: 0.2384 0.0000 0.2455 (multiplicity 4)  2 Sm 2.91, 3 Tl 3.13-3.17, 1 Cu 3.21



No. 2
The following is a PBE calculation of a relaxed ZnN crystal, from the Alexandria database.

Output
Its formation energy without anion corrections is 1.42 eV/f.u. Its volume is 80.7 Å³/cell. The total magnetic moment comes out at 0.224 μB/atom. For the excess energy over the best structure of this formula in the dataset, the calculation gives 482 meV/atom. The calculation puts the final energy at -4.090 eV/atom.

Unit cell a=4.3214 b=4.3214 c=4.3214 alpha=90.00 beta=90.00 gamma=90.00
Closest atoms and distances in Å follow each position.
Space group Fm-3m (No. 225)
Asymmetric unit:
Zn: 0.0000 0.0000 0.0000 (multiplicity 4)  6 N 2.16
N: 0.0000 0.0000 0.5000 (multiplicity 4)  6 Zn 2.16



No. 3
The following is a PBE calculation of a relaxed Na3Ac2BiO6 crystal, from the Alexandria database.

Output
Its formation energy without anion corrections is -25.69 eV/f.u. Its volume is 411.4 Å³/cell. The total magnetic moment comes out at 0.000 μB/atom. The calculation puts the final energy at -5.958 eV/atom.

Unit cell a=6.4184 b=11.2066 c=6.0752 alpha=90.00 beta=109.70 gamma=90.00
Closest atoms and distances in Å follow each position.
Space group C2/m (No. 12)
Asymmetric unit:
Na: 0.0000 0.0000 0.0000 (multiplicity 2)  6 O 2.66
Na: 0.0000 0.3524 0.0000 (multiplicity 4)  4 O 2.52-2.60
Ac: 0.0000 0.1676 0.5000 (multiplicity 4)  6 O 2.52-2.53
Bi: 0.0000 0.5000 0.5000 (multiplicity 2)  6 O 2.44-2.45
O: 0.2326 0.3388 0.7229 (multiplicity 8)  1 Bi 2.44, 2 Ac 2.52-2.53, 2 Na 2.60-2.66
O: 0.2460 0.0000 0.7243 (multiplicity 4)  1 Bi 2.45, 3 Na 2.52-2.66, 2 Ac 2.53



No. 4
The following is a PBE calculation of a relaxed PuNpOsPd crystal, from the Alexandria database.

Output
Its volume is 323.5 Å³/cell. The total magnetic moment comes out at 2.136 μB/atom. The calculation puts the final energy at -10.981 eV/atom. As for the energy of formation from the pure elements: -0.057 eV per atom.

Unit cell a=6.8648 b=6.8648 c=6.8648 alpha=90.00 beta=90.00 gamma=90.00
Closest atoms and distances in Å follow each position.
Space group F-43m (No. 216)
Asymmetric unit:
Pu: 0.0000 0.0000 0.0000 (multiplicity 4)  4 Os 2.97, 4 Pd 2.97
Np: 0.0000 0.0000 0.5000 (multiplicity 4)  4 Pd 2.97, 4 Os 2.97
Os: 0.2500 0.2500 0.7500 (multiplicity 4)  4 Np 2.97, 4 Pu 2.97
Pd: 0.2500 0.2500 0.2500 (multiplicity 4)  4 Np 2.97, 4 Pu 2.97



No. 5
The following is a PBE calculation of a relaxed SmGa12Rh6 crystal, from the Alexandria database.

Output
Its volume is 966.3 Å³/cell. The total magnetic moment comes out at 0.000 μB/atom. The calculation puts the final energy at -5.013 eV/atom. As for the energy of formation from the pure elements: -0.532 eV per atom.

Unit cell a=11.3699 b=11.3699 c=8.6313 alpha=90.00 beta=90.00 gamma=120.00
Closest atoms and distances in Å follow each position.
Space group R-3m (No. 166, hexagonal axes)
Asymmetric unit:
Sm: 0.0000 0.0000 0.0000 (multiplicity 3)  6 Ga 3.24
Ga: 0.0000 0.3856 0.5000 (multiplicity 18)  4 Rh 2.52-2.57, 3 Ga 2.60-2.73
Ga: 0.0899 0.1797 0.3147 (multiplicity 18)  3 Rh 2.53-2.59, 2 Ga 2.73
Rh: 0.0510 0.5255 0.2498 (multiplicity 18)  7 Ga 2.52-2.59



No. 6
The following is a PBE calculation of a relaxed HfPa2Au6 crystal, from the Alexandria database.

Output
Its volume is 181.7 Å³/cell. The total magnetic moment comes out at 0.000 μB/atom. The calculation puts the final energy at -5.853 eV/atom. As for the energy of formation from the pure elements: -0.452 eV per atom.

Unit cell a=8.3233 b=8.3233 c=3.0292 alpha=90.00 beta=90.00 gamma=120.00
Closest atoms and distances in Å follow each position.
Space group P6/mmm (No. 191)
Asymmetric unit:
Hf: 0.0000 0.0000 0.0000 (multiplicity 1)  2 Hf 3.03, 12 Au 3.14
Pa: 0.3333 0.6667 0.0000 (multiplicity 2)  2 Pa 3.03, 12 Au 3.17
Au: 0.0000 0.3306 0.5000 (multiplicity 6)  5 Au 2.75-3.03



No. 7
The following is a PBE calculation of a relaxed Cs2WSe4 crystal, from the Alexandria database.

Output
Its formation energy without anion corrections is -6.28 eV/f.u. Its volume is 1105.1 Å³/cell. The total magnetic moment comes out at 0.000 μB/atom. The calculation puts the final energy at -4.983 eV/atom.

Unit cell a=10.7782 b=7.6027 c=13.4858 alpha=90.00 beta=90.00 gamma=90.00
Closest atoms and distances in Å follow each position.
Space group Pnma (No. 62)
Asymmetric unit:
Cs: 0.0375 0.2500 0.1634 (multiplicity 4)  9 Se 3.62-3.87
Cs: 0.1509 0.7500 0.3963 (multiplicity 4)  8 Se 3.86-4.12
W: 0.2471 0.7500 0.0776 (multiplicity 4)  4 Se 2.34-2.35
Se: 0.0329 0.7500 0.1088 (multiplicity 4)  1 W 2.35
Se: 0.1629 0.0005 0.6486 (multiplicity 8)  1 W 2.34
Se: 0.2131 0.2500 0.4070 (multiplicity 4)  1 W 2.34



No. 8
The following is a PBE calculation of a relaxed Nd6Dy2In crystal, from the Alexandria database.

Output
Its volume is 591.5 Å³/cell. The total magnetic moment comes out at 0.000 μB/atom. For the excess energy over the best structure of this formula in the dataset, the calculation gives 0 meV/atom. The calculation puts the final energy at -4.572 eV/atom. As for the energy of formation from the pure elements: -0.067 eV per atom.

Unit cell a=10.8649 b=10.8649 c=5.0109 alpha=90.00 beta=90.00 gamma=90.00
Closest atoms and distances in Å follow each position.
Space group P4_2/mnm (No. 136)
Asymmetric unit:
Nd: 0.0030 0.3325 0.0000 (multiplicity 8)  8 Nd 3.56-3.75, 3 Dy 3.60-3.64, 1 In 3.61
Nd: 0.1584 0.1584 0.5000 (multiplicity 4)  4 Dy 3.48-3.73, 2 In 3.49, 6 Nd 3.56-3.75
Dy: 0.1622 0.8378 0.5000 (multiplicity 4)  10 Nd 3.48-3.73, 2 In 3.53
In: 0.0000 0.0000 0.0000 (multiplicity 2)  8 Nd 3.49-3.61, 4 Dy 3.53



No. 9
The following is a PBE calculation of a relaxed Tm3ScS crystal, from the Alexandria database.

Output
Its formation energy without anion corrections is -2.85 eV/f.u. Its volume is 138.0 Å³/cell. The total magnetic moment comes out at 0.187 μB/atom. The calculation puts the final energy at -5.344 eV/atom.

Unit cell a=5.1676 b=5.1676 c=5.1676 alpha=90.00 beta=90.00 gamma=90.00
Closest atoms and distances in Å follow each position.
Space group Pm-3m (No. 221)
Asymmetric unit:
Tm: 0.0000 0.0000 0.5000 (multiplicity 3)  2 S 2.58
Sc: 0.5000 0.5000 0.5000 (multiplicity 1)  12 Tm 3.65
S: 0.0000 0.0000 0.0000 (multiplicity 1)  6 Tm 2.58



No. 10
The following is a PBE calculation of a relaxed ErTm6Te8 crystal, from the Alexandria database.

Output
Its formation energy without anion corrections is -19.20 eV/f.u. Its volume is 1781.8 Å³/cell. The total magnetic moment comes out at 0.000 μB/atom. The calculation puts the final energy at -5.048 eV/atom.

Unit cell a=12.1232 b=12.1232 c=12.1232 alpha=90.00 beta=90.00 gamma=90.00
Closest atoms and distances in Å follow each position.
Space group Fm-3m (No. 225)
Asymmetric unit:
Er: 0.0000 0.0000 0.0000 (multiplicity 4)  6 Te 3.11
Tm: 0.0000 0.2500 0.2500 (multiplicity 24)  6 Te 3.03
Te: 0.0000 0.0000 0.2562 (multiplicity 24)  4 Tm 3.03, 1 Er 3.11
Te: 0.2500 0.2500 0.2500 (multiplicity 8)  6 Tm 3.03



No. 11
The following is a PBE calculation of a relaxed NdSm2Y5Sc crystal, from the Alexandria database.

Output
Its volume is 1169.6 Å³/cell. The total magnetic moment comes out at 0.000 μB/atom. The calculation puts the final energy at -5.714 eV/atom. As for the energy of formation from the pure elements: 0.159 eV per atom.

Unit cell a=5.6114 b=19.9489 c=10.4481 alpha=90.00 beta=90.00 gamma=90.00
Closest atoms and distances in Å follow each position.
Space group Cmc2_1 (No. 36)
Asymmetric unit:
Nd: 0.0000 0.0882 0.0000 (multiplicity 4)  5 Y 3.04-3.29
Sm: 0.0000 0.3851 0.2825 (multiplicity 4)  1 Sc 3.33, 7 Y 3.47-3.72, 2 Nd 3.65
Sm: 0.0000 0.3888 0.8624 (multiplicity 4)  9 Y 3.24-3.62, 1 Sc 3.52
Y: 0.0000 0.0191 0.2861 (multiplicity 4)  2 Nd 3.09-3.29, 2 Sm 3.45
Y: 0.0000 0.1295 0.5682 (multiplicity 4)  1 Sc 3.54, 4 Sm 3.55-3.60, 4 Y 3.63-3.78
Y: 0.0000 0.2030 0.2503 (multiplicity 4)  4 Y 3.41-3.69, 2 Sc 3.42, 1 Nd 3.48, 3 Sm 3.55-3.65
Y: 0.0000 0.2266 0.8788 (multiplicity 4)  1 Nd 3.04, 1 Sm 3.24
Y: 0.0000 0.4828 0.5659 (multiplicity 4)  2 Nd 3.22, 3 Sm 3.33-3.55, 1 Sc 3.51
Sc: 0.0000 0.3069 0.5641 (multiplicity 4)  2 Sm 3.33-3.52, 7 Y 3.42-3.66, 2 Nd 3.56



No. 12
The following is a PBE calculation of a relaxed Ac2PuHgSe5 crystal, from the Alexandria database.

Output
Its formation energy without anion corrections is -13.35 eV/f.u. Its volume is 1021.3 Å³/cell. The total magnetic moment comes out at 0.647 μB/atom. The calculation puts the final energy at -5.959 eV/atom.

Unit cell a=4.3326 b=18.2673 c=12.9042 alpha=90.00 beta=90.00 gamma=90.00
Closest atoms and distances in Å follow each position.
Space group Cmc2_1 (No. 36)
Asymmetric unit:
Ac: 0.0000 0.1204 0.0000 (multiplicity 4)  8 Se 3.18-3.29
Ac: 0.0000 0.1306 0.6224 (multiplicity 4)  8 Se 3.19-3.36
Pu: 0.0000 0.1962 0.3199 (multiplicity 4)  6 Se 2.95-2.99
Hg: 0.0000 0.4542 0.7748 (multiplicity 4)  3 Se 2.63-2.65
Se: 0.0000 0.0426 0.3937 (multiplicity 4)  2 Hg 2.65, 1 Pu 2.96
Se: 0.0000 0.2934 0.9758 (multiplicity 4)  2 Pu 2.96, 3 Ac 3.18-3.19
Se: 0.0000 0.3068 0.6604 (multiplicity 4)  2 Pu 2.99, 1 Hg 3.07, 3 Ac 3.26-3.28
Se: 0.0000 0.3574 0.3146 (multiplicity 4)  1 Pu 2.95, 2 Ac 3.25
Se: 0.0000 0.4977 0.0827 (multiplicity 4)  1 Hg 2.63



No. 13
The following is a PBE calculation of a relaxed PrGd2Pb crystal, from the Alexandria database.

Output
Its volume is 409.9 Å³/cell. The total magnetic moment comes out at 3.596 μB/atom. For the excess energy over the best structure of this formula in the dataset, the calculation gives 389 meV/atom. The calculation puts the final energy at -9.109 eV/atom. As for the energy of formation from the pure elements: 0.053 eV per atom.

Unit cell a=3.5927 b=3.5927 c=36.6734 alpha=90.00 beta=90.00 gamma=120.00
Closest atoms and distances in Å follow each position.
Space group R-3m (No. 166, hexagonal axes)
Asymmetric unit:
Pr: 0.0000 0.0000 0.0000 (multiplicity 3)  6 Gd 3.58, 6 Pr 3.59
Gd: 0.0000 0.0000 0.4128 (multiplicity 6)  1 Pb 3.20, 3 Pr 3.58
Pb: 0.0000 0.0000 0.5000 (multiplicity 3)  2 Gd 3.20



No. 14
The following is a PBE calculation of a relaxed Pu2MnTcN5 crystal, from the Alexandria database.

Output
Its formation energy without anion corrections is -5.90 eV/f.u. Its volume is 412.5 Å³/cell. The total magnetic moment comes out at 0.713 μB/atom. The calculation puts the final energy at -10.637 eV/atom.

Unit cell a=3.2508 b=12.8925 c=9.8417 alpha=90.00 beta=90.00 gamma=90.00
Closest atoms and distances in Å follow each position.
Space group Cmc2_1 (No. 36)
Asymmetric unit:
Pu: 0.0000 0.1078 0.0000 (multiplicity 4)  6 N 2.24-2.47
Pu: 0.0000 0.1507 0.6303 (multiplicity 4)  7 N 2.26-2.52
Mn: 0.0000 0.2126 0.3444 (multiplicity 4)  6 N 1.99-2.14
Tc: 0.0000 0.4653 0.7806 (multiplicity 4)  4 N 1.90-2.06
N: 0.0000 0.0609 0.3819 (multiplicity 4)  2 Tc 1.94, 1 Mn 1.99
N: 0.0000 0.2808 0.9806 (multiplicity 4)  2 Mn 2.11, 1 Pu 2.24
N: 0.0000 0.3153 0.7083 (multiplicity 4)  1 Tc 2.06, 2 Mn 2.14, 1 Pu 2.26
N: 0.0000 0.3670 0.3252 (multiplicity 4)  1 Mn 2.00, 1 Tc 2.21
N: 0.0000 0.4896 0.0966 (multiplicity 4)  1 Tc 1.90



No. 15
The following is a PBE calculation of a relaxed KRu2Rh crystal, from the Alexandria database.

Output
Its volume is 160.0 Å³/cell. The total magnetic moment comes out at 0.000 μB/atom. For the excess energy over the best structure of this formula in the dataset, the calculation gives 219 meV/atom. The calculation puts the final energy at -5.938 eV/atom. As for the energy of formation from the pure elements: 0.812 eV per atom.

Unit cell a=10.6466 b=2.7435 c=5.6889 alpha=90.00 beta=105.62 gamma=90.00
Closest atoms and distances in Å follow each position.
Space group C2/m (No. 12)
Asymmetric unit:
K: 0.0000 0.0000 0.0000 (multiplicity 2)  2 K 2.74
Ru: 0.2120 0.0000 0.6482 (multiplicity 4)  4 Ru 2.47-2.74, 2 Rh 2.58
Rh: 0.0000 0.5000 0.5000 (multiplicity 2)  4 Ru 2.58, 2 Rh 2.74



No. 16
The following is a PBE calculation of a relaxed PmTlCu crystal, from the Alexandria database.

Output
Its volume is 300.0 Å³/cell. The total magnetic moment comes out at 0.000 μB/atom. For the excess energy over the best structure of this formula in the dataset, the calculation gives 49 meV/atom. The calculation puts the final energy at -3.947 eV/atom. As for the energy of formation from the pure elements: -0.209 eV per atom.

Unit cell a=6.6944 b=6.6944 c=6.6944 alpha=90.00 beta=90.00 gamma=90.00
Closest atoms and distances in Å follow each position.
Space group F-43m (No. 216)
Asymmetric unit:
Pm: 0.0000 0.0000 0.0000 (multiplicity 4)  4 Cu 2.90
Tl: 0.0000 0.0000 0.5000 (multiplicity 4)  4 Cu 2.90
Cu: 0.2500 0.2500 0.2500 (multiplicity 4)  4 Tl 2.90, 4 Pm 2.90